First-principles (GGA-PBE) data for a relaxed structure of InFe2Ir, as listed in Alexandria via LeMat-Bulk. Values from VASP.

Output
For the formation energy, the calculation gives 0.10 eV/atom. The electronic total energy comes out at -7.036 eV/atom. Its space-group type is No. 123. For the total moment, the calculation gives 5.85 μB per cell.

The structure in Quantum ESPRESSO input format:
```
&SYSTEM
  ibrav = 0, nat = 4, ntyp = 3
/
ATOMIC_SPECIES
In 114.82 In.upf
Ir 192.22 Ir.upf
Fe 55.84 Fe.upf
CELL_PARAMETERS angstrom
3.8578 0.0000 0.0000
0.0000 3.8578 0.0000
0.0000 0.0000 3.9969
ATOMIC_POSITIONS crystal
In 0.5000 0.0000 0.5000
Ir 0.0000 0.5000 0.5000
Fe 0.0000 0.0000 0.0000
Fe 0.5000 0.5000 0.0000
```